Density functional theory data (PBE) for an optimized crystal structure of BaLaSn2B.

The structure in POSCAR format:
```
BaLaSn2B
1.0
6.1236 0.0000 0.0000
0.0000 6.1236 0.0000
0.0000 0.0000 5.9793
Ba La Sn B
1 1 2 1
Cartesian
0.0000 0.0000 0.0000 Ba
0.0000 0.0000 2.9896 La
0.0000 3.0618 0.0000 Sn
3.0618 0.0000 0.0000 Sn
3.0618 3.0618 2.9896 B
```

## Properties
DFT formation energy: 1814 meV/atom